## MgFe5O8 (PBE+U)

Data for MgFe5O8 after structural relaxation.

E = -6.44 eV/atom

Cell lengths 7.0296, 7.0296, 6.0216 Å; angles 90.00, 90.00, 90.00 degrees
With the nearest neighbours (Å) after each atom.
Space group I-4 (No. 82)
Unique sites:
Mg 0.0000 0.0000 0.0000 [2 per cell]  4 O 1.98
Fe 0.0000 0.5000 0.2500 [2 per cell]  4 O 2.03
Fe 0.2049 0.2474 0.6279 [8 per cell]  4 O 1.96-2.15
O 0.0505 0.2298 0.3558 [8 per cell]  3 Fe 1.97-2.10
O 0.0509 0.2639 0.8993 [8 per cell]  2 Fe 1.96-2.15, 1 Mg 1.98